Entry 1:
The following is a PBE calculation of a geometry-optimized HoZnCd11 structure, from Alexandria via LeMat-Bulk.

a b c (Å): 7.5672 7.5672 7.5218
angles (deg): 98.61 98.61 133.91
Closest atoms and distances in Å follow each position.
Fractional positions:
Ho (0.0000, 0.0000, 0.0000)  18 Cd 3.43-3.78, 2 Zn 3.79
Zn (0.5000, 0.5000, 0.5000)  10 Cd 2.82-2.99
Cd (0.0000, 0.0000, 0.5000)  8 Cd 2.91-3.01, 2 Zn 2.96
Cd (0.0000, 0.5000, 0.0000)  10 Cd 2.90-3.09
Cd (0.0091, 0.3535, 0.3522)  8 Cd 2.99-3.34, 1 Zn 2.99
Cd (0.2968, 0.5069, 0.7834)  1 Zn 2.82, 7 Cd 2.90-3.15
Cd (0.3535, 0.0091, 0.3522)  8 Cd 2.99-3.34, 1 Zn 2.99
Cd (0.4931, 0.7032, 0.2166)  1 Zn 2.82, 7 Cd 2.90-3.15
Cd (0.5000, 0.0000, 0.0000)  10 Cd 2.90-3.09
Cd (0.5069, 0.2968, 0.7834)  1 Zn 2.82, 7 Cd 2.90-3.15
Cd (0.6465, 0.9909, 0.6478)  8 Cd 2.99-3.34, 1 Zn 2.99
Cd (0.7032, 0.4931, 0.2166)  1 Zn 2.82, 7 Cd 2.90-3.15
Cd (0.9909, 0.6465, 0.6478)  8 Cd 2.99-3.34, 1 Zn 2.99

- electronic total energy (eV/atom) = -1.289
- ρ (g/cm³) = 8.5
- E_form (eV per atom) = -0.065

Entry 2:
The following is a PBE calculation of a geometry-optimized Cs6PdI2O structure, from Alexandria via LeMat-Bulk.

a b c (Å): 8.7223 12.6229 9.4863
angles (deg): 90.00 90.00 90.00
Closest atoms and distances in Å follow each position.
Fractional positions:
Cs (0.0040, 0.2500, 0.0755)  1 O 2.91
Cs (0.0186, 0.7500, 0.4837)  1 O 3.05
Cs (0.2500, 0.5172, 0.7198)  1 O 2.94
Cs (0.2500, 0.9828, 0.7198)  1 O 2.94
Cs (0.4814, 0.7500, 0.4837)  1 O 3.05
Cs (0.4960, 0.2500, 0.0755)  1 O 2.91
Cs (0.5040, 0.7500, 0.9245)  1 O 2.91
Cs (0.5186, 0.2500, 0.5163)  1 O 3.05
Cs (0.7500, 0.0172, 0.2802)  1 O 2.94
Cs (0.7500, 0.4828, 0.2802)  1 O 2.94
Cs (0.9814, 0.2500, 0.5163)  1 O 3.05
Cs (0.9960, 0.7500, 0.9245)  1 O 2.91
Pd (0.2500, 0.2500, 0.7910)  6 Cs 3.44-3.50
Pd (0.7500, 0.7500, 0.2090)  6 Cs 3.44-3.50
I (0.2500, 0.0283, 0.3079)  9 Cs 3.95-4.38
I (0.2500, 0.4717, 0.3079)  9 Cs 3.95-4.38
I (0.7500, 0.5283, 0.6921)  9 Cs 3.95-4.38
I (0.7500, 0.9717, 0.6921)  9 Cs 3.95-4.38
O (0.2500, 0.7500, 0.7253)  6 Cs 2.91-3.05
O (0.7500, 0.2500, 0.2747)  6 Cs 2.91-3.05

- electronic total energy (eV/atom) = -2.698
- E_form (uncorrected) (eV/atom) = -0.860
- ρ (g/cm³) = 3.7